Crystalline BaNa3C at its relaxed geometry, computed with PBE.

## Properties
* energy of formation: 2.17 eV/atom
* final energy: -4.27 eV/cell
* energy above the most stable polymorph in this dataset: 1346 meV/atom

a b c (Å): 6.873 6.873 6.873
angles (deg): 90.00 90.00 90.00
Atoms (fractional coordinates):
Ba 0.000 0.000 0.000
Na 0.000 0.000 0.500
Na 0.000 0.500 0.000
Na 0.500 0.000 0.000
C 0.500 0.500 0.500



Crystalline CrAuS2N at its relaxed geometry, computed with PBE.

## Properties
* final energy: -23.52 eV/cell
* energy above the most stable polymorph in this dataset: 790 meV/atom
* formation energy from raw total energies: 1.192 eV/atom

a b c (Å): 5.033 5.033 3.754
angles (deg): 90.00 90.00 90.00
Atoms (fractional coordinates):
Cr 0.000 0.000 0.000
Au 0.500 0.500 0.500
S 0.000 0.500 0.500
S 0.500 0.000 0.500
N 0.500 0.500 0.000



Crystalline DyTlAgRh at its relaxed geometry, computed with PBE.

## Properties
* energy of formation: -0.30 eV/atom
* final energy: -18.37 eV/cell

a b c (Å): 4.866 4.866 4.866
angles (deg): 60.00 60.00 60.00
Atoms (fractional coordinates):
Dy 0.000 0.000 0.000
Tl 0.500 0.500 0.500
Ag 0.250 0.250 0.250
Rh 0.750 0.750 0.750



Crystalline HfTl2Bi at its relaxed geometry, computed with PBE.

## Properties
* energy of formation: 0.37 eV/atom
* final energy: -34.19 eV/cell
* energy above the most stable polymorph in this dataset: 24 meV/atom

a b c (Å): 6.816 6.816 6.816
angles (deg): 101.72 101.72 126.42
Atoms (fractional coordinates):
Hf 0.000 0.000 0.000
Hf 0.750 0.250 0.500
Tl 0.102 0.625 0.977
Tl 0.375 0.352 0.477
Tl 0.648 0.125 0.023
Tl 0.875 0.898 0.523
Bi 0.250 0.750 0.500
Bi 0.500 0.500 0.000



Crystalline Tb2DyY6Er at its relaxed geometry, computed with PBE.

## Properties
* energy of formation: 0.12 eV/atom
* final energy: -112.09 eV/cell

a b c (Å): 8.762 8.762 9.637
angles (deg): 94.49 94.49 117.68
Atoms (fractional coordinates):
Tb 0.196 0.298 0.045
Tb 0.298 0.196 0.545
Tb 0.702 0.804 0.455
Tb 0.804 0.702 0.955
Dy 0.022 0.978 0.250
Dy 0.978 0.022 0.750
Y 0.017 0.571 0.185
Y 0.123 0.752 0.556
Y 0.248 0.877 0.944
Y 0.293 0.504 0.381
Y 0.429 0.983 0.315
Y 0.496 0.707 0.119
Y 0.504 0.293 0.881
Y 0.571 0.017 0.685
Y 0.707 0.496 0.619
Y 0.752 0.123 0.056
Y 0.877 0.248 0.444
Y 0.983 0.429 0.815
Er 0.408 0.592 0.750
Er 0.592 0.408 0.250



Crystalline Cs2KLi at its relaxed geometry, computed with PBE.

## Properties
* energy of formation: 0.25 eV/atom
* final energy: -3.73 eV/cell
* energy above the most stable polymorph in this dataset: 134 meV/atom

a b c (Å): 16.470 16.470 16.470
angles (deg): 16.71 16.71 16.71
Atoms (fractional coordinates):
Cs 0.080 0.080 0.080
Cs 0.920 0.920 0.920
K 0.500 0.500 0.500
Li 0.000 0.000 0.000



Crystalline CdPd at its relaxed geometry, computed with PBE.

## Properties
* energy of formation: -0.15 eV/atom
* final energy: -25.60 eV/cell

a b c (Å): 7.399 7.399 7.399
angles (deg): 92.26 92.26 157.09
Atoms (fractional coordinates):
Cd 0.111 0.823 0.934
Cd 0.177 0.111 0.288
Cd 0.823 0.889 0.712
Cd 0.889 0.177 0.066
Pd 0.088 0.362 0.450
Pd 0.362 0.912 0.273
Pd 0.638 0.088 0.727
Pd 0.912 0.638 0.550



Crystalline CdW2Se at its relaxed geometry, computed with PBE.

## Properties
* final energy: -27.06 eV/cell
* energy above the most stable polymorph in this dataset: 496 meV/atom
* formation energy from raw total energies: 0.811 eV/atom

a b c (Å): 2.877 4.640 5.352
angles (deg): 90.00 90.55 90.00
Atoms (fractional coordinates):
Cd 0.000 0.000 0.000
W 0.388 0.500 0.758
W 0.612 0.500 0.242
Se 0.500 0.000 0.500



Crystalline P2RuSe at its relaxed geometry, computed with PBE.

## Properties
* final energy: -46.40 eV/cell
* formation energy from raw total energies: 0.095 eV/atom

a b c (Å): 6.476 6.476 6.476
angles (deg): 127.33 127.33 77.71
Atoms (fractional coordinates):
P 0.075 0.625 0.950
P 0.375 0.325 0.450
P 0.675 0.125 0.050
P 0.875 0.925 0.550
Ru 0.000 0.000 0.000
Ru 0.750 0.250 0.500
Se 0.250 0.750 0.500
Se 0.500 0.500 0.000



Crystalline CuMoAu at its relaxed geometry, computed with PBE.

## Properties
* energy of formation: 0.21 eV/atom
* final energy: -17.57 eV/cell
* energy above the most stable polymorph in this dataset: 55 meV/atom

a b c (Å): 6.457 6.457 6.457
angles (deg): 155.63 155.63 34.74
Atoms (fractional coordinates):
Cu 0.000 0.000 0.000
Mo 0.655 0.655 0.000
Au 0.335 0.335 0.000



Crystalline AlGa2N at its relaxed geometry, computed with PBE.

## Properties
* final energy: -14.36 eV/cell
* energy above the most stable polymorph in this dataset: 759 meV/atom
* formation energy from raw total energies: 0.941 eV/atom

a b c (Å): 4.434 4.434 4.434
angles (deg): 60.00 60.00 60.00
Atoms (fractional coordinates):
Al 0.000 0.000 0.000
Ga 0.250 0.250 0.250
Ga 0.750 0.750 0.750
N 0.500 0.500 0.500



Crystalline Li2ZnCl4 at its relaxed geometry, computed with PBE.

## Properties
* final energy: -22.99 eV/cell
* energy above the most stable polymorph in this dataset: 35 meV/atom
* formation energy from raw total energies: -1.500 eV/atom

a b c (Å): 6.489 6.489 6.489
angles (deg): 123.16 123.16 84.62
Atoms (fractional coordinates):
Li 0.000 0.500 0.500
Li 0.500 0.000 0.500
Zn 0.000 0.000 0.000
Cl 0.116 0.656 0.000
Cl 0.344 0.344 0.461
Cl 0.656 0.116 0.000
Cl 0.884 0.884 0.539



Number 1: total moment 0.00 μB per cell. Number 2: total moment 3.93 μB per cell. Number 3: total moment 0.00 μB per cell. Number 4: total moment 0.00 μB per cell. Number 5: total moment 0.00 μB per cell. Number 6: total moment 0.00 μB per cell. Number 7: total moment 0.00 μB per cell. Number 8: total moment 0.00 μB per cell. Number 9: total moment 0.00 μB per cell. Number 10: total moment 0.00 μB per cell. Number 11: total moment 0.00 μB per cell. Number 12: total moment 0.00 μB per cell.